No. 1
Computed, not measured: a geometry-optimized Ba3Na2Zn2Hg4 structure at the GGA-PBE level of DFT.

Cell: 4.9470 4.9470 17.5103 Å, 90.00 90.00 120.00°
Element x y z (fractional)
Ba: 0.0000 0.0000 0.7474
Ba: 0.0000 0.0000 0.0000
Ba: 0.0000 0.0000 0.2526
Na: 0.6667 0.3333 0.4423
Na: 0.3333 0.6667 0.5577
Zn: 0.6667 0.3333 0.8713
Zn: 0.3333 0.6667 0.1287
Hg: 0.6667 0.3333 0.1278
Hg: 0.3333 0.6667 0.8722
Hg: 0.6667 0.3333 0.6297
Hg: 0.3333 0.6667 0.3703

Results
**SG**: P-3m1, No. 164
**Energy relative to the elements**: -0.3127 eV/atom


No. 2
Computed, not measured: a geometry-optimized BaNaZnHg2 structure at the GGA-PBE level of DFT.

Cell: 5.4073 5.4073 5.3278 Å, 90.00 90.00 90.00°
Element x y z (fractional)
Na: 0.0000 0.0000 0.5000
Zn: 0.0000 0.0000 0.0000
Hg: 0.0000 0.5000 0.0000
Hg: 0.5000 0.0000 0.0000
Ba: 0.5000 0.5000 0.5000

Results
**SG**: P4/mmm, No. 123
**Energy relative to the elements**: -0.1485 eV/atom


No. 3
Computed, not measured: a geometry-optimized BaNb2Hg structure at the GGA-PBE level of DFT.

Cell: 4.7276 4.7276 11.2653 Å, 77.89 77.89 90.00°
Element x y z (fractional)
Nb: 0.7934 0.1250 0.2500
Nb: 0.9566 0.6250 0.2500
Nb: 0.3750 0.2066 0.7500
Nb: 0.8750 0.0434 0.7500
Hg: 0.0000 0.0000 0.0000
Hg: 0.7500 0.2500 0.5000
Ba: 0.5000 0.5000 0.0000
Ba: 0.2500 0.7500 0.5000

Results
**SG**: I-42d, No. 122
**Energy relative to the elements**: 0.8275 eV/atom


No. 4
Computed, not measured: a geometry-optimized BaNbHg2 structure at the GGA-PBE level of DFT.

Cell: 5.4220 5.4220 10.5209 Å, 75.07 75.07 90.00°
Element x y z (fractional)
Nb: 0.5000 0.5000 0.0000
Nb: 0.2500 0.7500 0.5000
Hg: 0.4836 0.1250 0.2500
Hg: 0.2664 0.6250 0.2500
Hg: 0.3750 0.5164 0.7500
Hg: 0.8750 0.7336 0.7500
Ba: 0.0000 0.0000 0.0000
Ba: 0.7500 0.2500 0.5000

Results
**SG**: I-42d, No. 122
**Energy relative to the elements**: 0.5093 eV/atom


No. 5
Computed, not measured: a geometry-optimized BaNbHg3 structure at the GGA-PBE level of DFT.

Cell: 6.2081 6.2081 6.2081 Å, 90.00 90.00 90.00°
Element x y z (fractional)
Nb: 0.5000 0.5000 0.5000
Hg: 0.0000 0.5000 0.0000
Hg: 0.0000 0.0000 0.5000
Hg: 0.5000 0.0000 0.0000
Ba: 0.0000 0.0000 0.0000

Results
**SG**: Pm-3m, No. 221
**Energy relative to the elements**: 1.2464 eV/atom
**ΔE to the lowest computed polymorph**: 1.102 eV/atom


No. 6
Computed, not measured: a geometry-optimized BaNbHg3 structure at the GGA-PBE level of DFT.

Cell: 5.4556 5.4556 5.4556 Å, 90.00 90.00 90.00°
Element x y z (fractional)
Nb: 0.0000 0.0000 0.0000
Hg: 0.0000 0.5000 0.0000
Hg: 0.0000 0.0000 0.5000
Hg: 0.5000 0.0000 0.0000
Ba: 0.5000 0.5000 0.5000

Results
**SG**: Pm-3m, No. 221
**Energy relative to the elements**: 0.1443 eV/atom
**ΔE to the lowest computed polymorph**: 0.000 eV/atom


No. 7
Computed, not measured: a geometry-optimized Ba2NbNiHg structure at the GGA-PBE level of DFT.

Cell: 5.8959 5.0110 5.8959 Å, 90.00 90.00 90.00°
Element x y z (fractional)
Ni: 0.0000 0.0000 0.0000
Nb: 0.5000 0.5000 0.5000
Hg: 0.0000 0.5000 0.0000
Ba: 0.0000 0.0000 0.5000
Ba: 0.5000 0.0000 0.0000

Results
**SG**: P4/mmm, No. 123
**Energy relative to the elements**: 0.6560 eV/atom


No. 8
Computed, not measured: a geometry-optimized Ba4Nb3HgO12 structure at the GGA-PBE level of DFT.

Cell: 7.3432 7.3432 7.3432 Å, 109.47 109.47 109.47°
Element x y z (fractional)
Ba: 0.5000 0.5000 0.5000
Ba: 0.0000 0.0000 0.5000
Ba: 0.5000 0.0000 0.0000
Ba: 0.0000 0.5000 0.0000
Nb: 0.5000 0.0000 0.5000
Nb: 0.5000 0.5000 0.0000
Nb: 0.0000 0.5000 0.5000
Hg: 0.0000 0.0000 0.0000
O: 0.2500 0.5000 0.7500
O: 0.7289 0.0000 0.7289
O: 0.2711 0.0000 0.2711
O: 0.7500 0.5000 0.2500
O: 0.7289 0.7289 0.0000
O: 0.2711 0.2711 0.0000
O: 0.7500 0.2500 0.5000
O: 0.2500 0.7500 0.5000
O: 0.5000 0.2500 0.7500
O: 0.0000 0.7289 0.7289
O: 0.5000 0.7500 0.2500
O: 0.0000 0.2711 0.2711

Results
**SG**: Im-3m, No. 229
**Formation energy (no corrections)**: -2.500 eV/atom